Density functional theory data (PBE-GGA) for a relaxed structure of Tl2ZnSi.

Computed properties:
E above lowest polymorph in eV per formula unit: 1.080
Density of states at the Fermi level in states/eV/cell: 1.6
Crystal system: cubic
ΔE_f (raw) in kJ per mole of atoms: 41.4

Unit cell a=5.1393 b=5.1393 c=5.1393 alpha=60.00 beta=60.00 gamma=60.00
Last column: nearest neighbours and their distance in Å.
Fractional positions:
Tl  0.0000  0.0000  0.0000  4 Tl 3.15, 4 Zn 3.15
Tl  0.2500  0.2500  0.2500  4 Tl 3.15, 4 Si 3.15
Zn  0.7500  0.7500  0.7500  4 Tl 3.15, 4 Si 3.15
Si  0.5000  0.5000  0.5000  4 Tl 3.15, 4 Zn 3.15